Below is a relaxed SrMgTl2Cu crystal, with properties calculated at the PBE-GGA level.

The structure in extended XYZ format:
```
5
Lattice="5.293 0.000 0.000 0.000 5.293 0.000 0.000 0.000 5.036" Properties=species:S:1:pos:R:3 pbc="T T T"
Sr 0.000 0.000 0.000
Mg 2.647 2.647 0.000
Tl 0.000 2.647 2.518
Tl 2.647 0.000 2.518
Cu 2.647 2.647 2.518
```

Output
The total energy is -2.459 eV per atom. The formation energy is -0.038 eV/atom.